AsPdBr2Cl (PBE-GGA, optimized geometry); E = -2.0304 eV/atom; ΔE_f (raw) = 977 meV per atom; V = 27.9 Å³/atom; offset from the most stable computed form = 3.59 eV per formula unit; crystal system = tetragonal; DOS(E_F) = 3.7 states/eV per cell
1.0
-0.648 4.741 -2.008
-4.960 -1.118 -1.038
-1.376 1.783 4.656
Br Cl Pd As
2 1 1 1
direct
0.000 0.500 0.000
0.500 0.000 0.000
0.000 0.000 0.000
0.500 0.500 0.500
0.000 0.000 0.500